# LiCoIrF6 | Alexandria via LeMat-Bulk | GGA+U | optimized geometry
data_LiCoIrF6
_chemical_formula_sum 'Li2 Co2 Ir2 F12'
_symmetry_space_group_name_H-M 'P 42 n m'
_symmetry_Int_Tables_number 102
_symmetry_space_group_name_Hall 'P 4n -2n'
_cell_length_a 4.7368
_cell_length_b 4.7368
_cell_length_c 9.5348
_cell_angle_alpha 90.00
_cell_angle_beta 90.00
_cell_angle_gamma 90.00
loop_
_atom_site_label
_atom_site_fract_x
_atom_site_fract_y
_atom_site_fract_z
Li1 0.0000 0.0000 0.0000
Co1 0.0000 0.0000 0.6709
Ir1 0.0000 0.0000 0.3345
F1 0.1922 0.1922 0.4999
F2 0.1944 0.1944 0.1692
F3 0.1966 0.1966 0.8367
# * crystal system: tetragonal
# * E: -4.974 eV/atom
# * total magnetization: 0.35 μB per atom